[1]
The following is a DFT calculation (PBE) of a geometry-optimized PmPrBiO2 structure.

Structure (POSCAR):
```
PmPrBiO2
1.0
-2.154 -0.709 -3.330
-1.833 -3.078 1.842
-3.012 6.257 3.053
Pm Pr Bi O
1 1 1 2
direct
0.167 0.167 0.334
0.835 0.835 0.670
0.502 0.502 0.003
0.748 0.248 0.496
0.248 0.748 0.496
```

Properties
Calculated total energy ... -7.23 eV per atom
Total magnetization ... 0.000 μB per atom

[2]
The following is a DFT calculation (PBE) of a geometry-optimized Tm2ThCo structure.

Structure (POSCAR):
```
Tm2ThCo
1.0
3.379 0.000 0.000
0.000 3.379 0.000
0.000 0.000 8.617
Tm Co Th
2 1 1
direct
0.000 0.000 0.816
0.000 0.000 0.184
0.500 0.500 0.000
0.500 0.500 0.500
```

Properties
Energy above the most stable polymorph in this dataset ... 0.56 eV/f.u.
Total magnetization ... 0.131 μB per atom
Formation energy ... -0.083 eV/atom

[3]
The following is a DFT calculation (PBE) of a geometry-optimized Ta2IrBr structure.

Structure (POSCAR):
```
Ta2IrBr
1.0
5.441 0.002 0.000
2.678 4.737 0.000
-4.060 -2.369 2.741
Ir Br Ta
1 1 2
direct
0.750 0.250 0.500
0.500 0.500 0.000
0.000 0.000 0.000
0.250 0.750 0.500
```

Properties
Energy above the most stable polymorph in this dataset ... 2.50 eV/f.u.
Total magnetization ... 0.000 μB per atom

[4]
The following is a DFT calculation (PBE) of a geometry-optimized InSnIr structure.

Structure (POSCAR):
```
InSnIr
1.0
4.787 0.000 0.000
0.000 5.059 -2.315
0.000 -0.015 5.563
In Sn Ir
2 2 2
direct
0.500 0.953 0.047
0.000 0.664 0.336
0.000 0.160 0.840
0.500 0.359 0.641
0.000 0.662 0.835
0.000 0.165 0.338
```

Properties
Total magnetization ... 0.000 μB per atom
Formation energy ... -0.006 eV/atom

[5]
The following is a DFT calculation (PBE) of a geometry-optimized CrTc2Ni structure.

Structure (POSCAR):
```
CrTc2Ni
1.0
-0.787 3.805 1.674
-3.867 1.688 -0.309
-2.443 0.334 3.437
Cr Ni Tc
1 1 2
direct
0.500 0.500 0.500
0.250 0.250 0.250
0.000 0.000 0.000
0.750 0.750 0.750
```

Properties
Energy above the most stable polymorph in this dataset ... 0.68 eV/f.u.
Total magnetization ... 0.490 μB per atom
Formation energy ... 0.190 eV/atom

[6]
The following is a DFT calculation (PBE) of a geometry-optimized TaP2Au structure.

Structure (POSCAR):
```
TaP2Au
1.0
10.404 0.002 0.001
9.994 2.891 0.001
9.994 1.417 2.519
Au P Ta
1 2 1
direct
0.754 0.754 0.754
0.017 0.017 0.017
0.231 0.231 0.231
0.498 0.498 0.498
```

Properties
Energy above the most stable polymorph in this dataset ... 2.16 eV/f.u.
Total magnetization ... 0.051 μB per atom
Formation energy ... 0.329 eV/atom

- What is the total magnetization in the third record?
  0.000 μB per atom

- Which value of total magnetization does entry 5 give?
  0.490 μB per atom

Repeat the first record exactly.
The following is a DFT calculation (PBE) of a geometry-optimized PmPrBiO2 structure.

Structure (POSCAR):
```
PmPrBiO2
1.0
-2.154 -0.709 -3.330
-1.833 -3.078 1.842
-3.012 6.257 3.053
Pm Pr Bi O
1 1 1 2
direct
0.167 0.167 0.334
0.835 0.835 0.670
0.502 0.502 0.003
0.748 0.248 0.496
0.248 0.748 0.496
```

Properties
Calculated total energy ... -7.23 eV per atom
Total magnetization ... 0.000 μB per atom